An optimized crystal structure of CoCNF2. Source: Alexandria, functional PBE with a Hubbard U.

Geometry as POSCAR:
```
CoCNF2
1.0
-2.895 0.267 -3.480
-1.042 -4.382 0.530
-1.815 0.620 1.557
C N Co F
1 1 1 2
Direct
0.000 0.000 0.000
0.000 0.000 0.500
0.500 0.500 0.500
0.000 0.500 0.000
0.500 0.000 0.000
```

Summary:
- DOS(E_F) (states/eV per atom) = 0.04
- energy above the lowest structure with this stoichiometry (eV/f.u.) = 0.00
- space-group type = P4/mmm (123)